First-principles (PBE) data for CeYZnCo after structural relaxation, as listed in Alexandria via LeMat-Bulk.

## Properties
total moment	0.0	μB per cell
energy	-0.1962	Ha/atom
energy of formation	-0.14	eV per atom

Cell lengths 6.9660, 6.9660, 6.9660 Å; angles 90.00, 90.00, 90.00 degrees
Space group F-43m (No. 216)
Inequivalent atoms, fractional coordinates:
Ce1 0.0000 0.0000 0.0000
Y1 0.0000 0.0000 0.5000
Zn1 0.2500 0.2500 0.7500
Co1 0.2500 0.2500 0.2500